Computed, not measured: a relaxed BaAgSO crystal at the PBE-GGA level of DFT.

Cell lengths 4.3891, 4.3891, 9.0578 Å; angles 90.00, 90.00, 90.00 degrees
Closest atoms and distances in Å follow each position.
Fractional positions:
Ag 0.2500 0.2500 0.4303  4 O 2.28
Ag 0.7500 0.7500 0.5697  4 O 2.28
Ba 0.7500 0.7500 0.2005  5 S 3.14, 1 Ag 3.34, 4 O 3.49
Ba 0.2500 0.2500 0.7995  5 S 3.14, 1 Ag 3.34, 4 O 3.49
O 0.7500 0.2500 0.5000  4 Ag 2.28
O 0.2500 0.7500 0.5000  4 Ag 2.28
S 0.2500 0.2500 0.1465  1 Ag 2.57
S 0.7500 0.7500 0.8535  1 Ag 2.57

Output
As for the energy above the most stable polymorph in this dataset: 159 meV/atom. Its symmetry is P4/nmm.

***

Computed, not measured: a relaxed BaAgSO crystal at the PBE-GGA level of DFT.

Cell lengths 8.2282, 6.5101, 6.6427 Å; angles 90.00, 90.00, 90.00 degrees
Closest atoms and distances in Å follow each position.
Fractional positions:
Ag 0.4890 0.2056 0.0306  2 O 2.22-2.26, 1 S 2.48
Ag 0.5110 0.7056 0.4694  2 O 2.22-2.26, 1 S 2.48
Ag 0.0110 0.7944 0.5306  2 O 2.22-2.26, 1 S 2.48
Ag 0.9890 0.2944 0.9694  2 O 2.22-2.26, 1 S 2.48
Ba 0.2858 0.7082 0.0462  3 O 2.76-2.84, 1 S 3.09
Ba 0.7142 0.2082 0.4538  3 O 2.76-2.84, 1 S 3.09
Ba 0.2142 0.2918 0.5462  3 O 2.76-2.84, 1 S 3.09
Ba 0.7858 0.7918 0.9538  3 O 2.76-2.84, 1 S 3.09
O 0.5482 0.9279 0.2202  2 Ag 2.22-2.26
O 0.4518 0.4279 0.2798  2 Ag 2.22-2.26
O 0.9518 0.0721 0.7202  2 Ag 2.22-2.26
O 0.0482 0.5721 0.7798  2 Ag 2.22-2.26
S 0.0297 0.0219 0.2257  2 Ag 2.48-2.51
S 0.9703 0.5219 0.2743  2 Ag 2.48-2.51
S 0.4703 0.9781 0.7257  2 Ag 2.48-2.51
S 0.5297 0.4781 0.7743  2 Ag 2.48-2.51

Output
As for the energy above the most stable polymorph in this dataset: 26 meV/atom. Its symmetry is P2_12_12_1.